Entry 1:
Computed, not measured: La14HoTl after structural relaxation at the GGA-PBE level of DFT.

Output
energy relative to the elements	-0.0474	eV/atom
space group	No. 65
electronic total energy	-4.79	eV per atom

Lattice parameters (Å, degrees): 7.329 7.329 10.435 90.00 90.00 90.06
Sites, in units of the cell vectors:
La 0.000 0.000 0.000
La 0.000 0.500 0.000
La 0.000 0.500 0.500
La 0.246 0.754 0.255
La 0.246 0.754 0.745
La 0.247 0.247 0.255
La 0.247 0.247 0.745
La 0.500 0.000 0.000
La 0.500 0.000 0.500
La 0.500 0.500 0.000
La 0.753 0.753 0.255
La 0.753 0.753 0.745
La 0.754 0.246 0.255
La 0.754 0.246 0.745
Ho 0.500 0.500 0.500
Tl 0.000 0.000 0.500

Entry 2:
Computed, not measured: Y4Sb6O19 after structural relaxation at the GGA-PBE level of DFT.

Output
space group	No. 1
electronic total energy	-7.01	eV per atom

Lattice parameters (Å, degrees): 8.102 8.112 8.200 108.41 111.09 108.25
Sites, in units of the cell vectors:
Y 0.000 0.000 0.000
Y 0.001 0.262 0.715
Y 0.271 0.966 0.693
Y 0.725 0.682 0.408
Sb 0.145 0.498 0.388
Sb 0.325 0.804 0.203
Sb 0.481 0.302 0.527
Sb 0.500 0.636 0.880
Sb 0.653 0.132 0.203
Sb 0.833 0.438 0.017
O 0.000 0.979 0.704
O 0.008 0.688 0.444
O 0.040 0.733 0.057
O 0.233 0.250 0.309
O 0.282 0.582 0.954
O 0.326 0.696 0.689
O 0.347 0.326 0.704
O 0.349 0.974 0.064
O 0.351 0.011 0.453
O 0.398 0.666 0.350
O 0.587 0.194 0.981
O 0.620 0.358 0.372
O 0.626 0.604 0.703
O 0.632 0.965 0.341
O 0.664 0.606 0.099
O 0.711 0.929 0.033
O 0.732 0.318 0.716
O 0.936 0.285 0.424
O 0.970 0.249 0.965

Entry 3:
Computed, not measured: Be2WAu after structural relaxation at the GGA-PBE level of DFT.

Output
energy relative to the elements	0.3148	eV/atom
energy above the most stable polymorph in this dataset	210.2	meV/atom
space group	No. 225
electronic total energy	-5.61	eV per atom

Lattice parameters (Å, degrees): 4.133 4.133 4.133 60.00 60.00 60.00
Sites, in units of the cell vectors:
Be 0.250 0.250 0.250
Be 0.750 0.750 0.750
W 0.000 0.000 0.000
Au 0.500 0.500 0.500

Entry 4:
Computed, not measured: CsRb2UF6 after structural relaxation at the GGA-PBE level of DFT.

Output
space group	No. 1
electronic total energy	-5.54	eV per atom

Lattice parameters (Å, degrees): 7.020 7.023 7.128 61.11 60.70 60.05
Sites, in units of the cell vectors:
Cs 0.000 0.000 0.000
Rb 0.223 0.224 0.324
Rb 0.732 0.733 0.800
U 0.511 0.513 0.463
F 0.184 0.768 0.639
F 0.349 0.592 0.207
F 0.406 0.188 0.647
F 0.598 0.845 0.209
F 0.758 0.395 0.653
F 0.847 0.362 0.195

Entry 5:
Computed, not measured: LiS after structural relaxation at the GGA-PBE level of DFT.

Output
energy above the most stable polymorph in this dataset	162.8	meV/atom
space group	No. 31
electronic total energy	-3.76	eV per atom

Lattice parameters (Å, degrees): 13.084 4.229 4.456 90.00 90.00 90.00
Sites, in units of the cell vectors:
Li 0.000 0.131 0.000
Li 0.240 0.734 0.592
Li 0.260 0.266 0.092
Li 0.500 0.869 0.500
Li 0.740 0.266 0.092
Li 0.760 0.734 0.592
S 0.000 0.633 0.260
S 0.163 0.764 0.094
S 0.337 0.236 0.594
S 0.500 0.367 0.760
S 0.663 0.236 0.594
S 0.837 0.764 0.094

Entry 6:
Computed, not measured: Ca2Mg after structural relaxation at the GGA-PBE level of DFT.

Output
energy relative to the elements	-0.0210	eV/atom
space group	No. 189
electronic total energy	-1.89	eV per atom

Lattice parameters (Å, degrees): 9.693 9.693 3.958 90.00 90.00 120.00
Sites, in units of the cell vectors:
Ca 0.000 0.279 0.000
Ca 0.000 0.617 0.500
Ca 0.279 0.000 0.000
Ca 0.383 0.383 0.500
Ca 0.617 0.000 0.500
Ca 0.721 0.721 0.000
Mg 0.000 0.000 0.500
Mg 0.333 0.667 0.000
Mg 0.667 0.333 0.000